No. 1
A relaxed Ba3MgC2N6 crystal, computed with PBE.

## Properties
Total energy, eV per cell: -80.439
Crystal system: trigonal
Total moment, μB per cell: 1.17
Volume, Å³/cell: 195.8
Raw formation energy, eV/atom: -0.390

Cell lengths 5.7088, 5.7088, 6.9371 Å; angles 90.00, 90.00, 120.00 degrees
Last column: magnetic moment on the atom in μB.
Fractional positions:
Ba1 0.3333 0.6667 0.6811  0.02
Ba2 0.6667 0.3333 0.3189  0.02
Ba3 0.0000 0.0000 0.0000  0.01
Mg1 0.0000 0.0000 0.5000  0.00
C1 0.6667 0.3333 0.7121  -0.01
C2 0.3333 0.6667 0.2879  -0.01
N1 0.6101 0.8051 0.2943  0.13
N2 0.1949 0.3899 0.2943  0.13
N3 0.1949 0.8051 0.2943  0.13
N4 0.8051 0.6101 0.7057  0.13
N5 0.3899 0.1949 0.7057  0.13
N6 0.8051 0.1949 0.7057  0.13


No. 2
A relaxed BaMgC2O6 crystal, computed with PBE.

## Properties
Total energy, eV per cell: -73.141
Crystal system: trigonal
Total moment, μB per cell: 0.00
Volume, Å³/cell: 127.4
Raw formation energy, eV/atom: -2.143

Cell lengths 5.0807, 5.0807, 6.4101 Å; angles 66.65, 66.65, 60.00 degrees
Fractional positions:
C1 0.7615 0.7615 0.7155
C2 0.2385 0.2385 0.2845
Mg1 0.5000 0.5000 0.5000
Ba1 0.0000 0.0000 0.0000
O1 0.0505 0.5740 0.7219
O2 0.5740 0.6536 0.7219
O3 0.3464 0.9495 0.2781
O4 0.9495 0.4260 0.2781
O5 0.4260 0.3464 0.2781
O6 0.6536 0.0505 0.7219


No. 3
A relaxed BaMgC2O6 crystal, computed with PBE.

## Properties
Total energy, eV per cell: -146.321
Crystal system: trigonal
Total moment, μB per cell: 0.00
Volume, Å³/cell: 255.3
Raw formation energy, eV/atom: -2.145

Cell lengths 11.8202, 11.8202, 11.8202 Å; angles 24.79, 24.79, 24.79 degrees
Fractional positions:
Ba1 0.2500 0.2500 0.2500
Ba2 0.7500 0.7500 0.7500
Mg1 0.5000 0.5000 0.5000
Mg2 0.0000 0.0000 0.0000
C1 0.3690 0.3690 0.3690
C2 0.8690 0.8690 0.8690
C3 0.6310 0.6310 0.6310
C4 0.1310 0.1310 0.1310
O1 0.2723 0.6602 0.1776
O2 0.1776 0.2723 0.6602
O3 0.6602 0.1776 0.2723
O4 0.6776 0.1602 0.7723
O5 0.7723 0.6776 0.1602
O6 0.1602 0.7723 0.6776
O7 0.7277 0.3398 0.8224
O8 0.8224 0.7277 0.3398
O9 0.3398 0.8224 0.7277
O10 0.3224 0.8398 0.2277
O11 0.2277 0.3224 0.8398
O12 0.8398 0.2277 0.3224